# Na5B7C3

An optimized crystal structure of Na5B7C3 (GGA-PBE, the Alexandria database).

a = 11.5927 Å, b = 11.5927 Å, c = 9.9875 Å
α = 107.07°, β = 107.07°, γ = 14.05°
Closest atoms and distances in Å follow each position.
Positions (direct):
Na 0.3993 0.3993 0.8035  10 B 2.65-2.81, 2 C 2.79-2.84, 6 Na 2.83-2.93
Na 0.5012 0.5012 0.5021  8 B 2.67-2.77, 4 C 2.69-2.78, 6 Na 2.83-2.93
Na 0.1993 0.1993 0.4010  9 B 2.68-2.93, 3 C 2.69-2.71, 6 Na 2.83-2.94
Na 0.3007 0.3007 0.0954  11 B 2.67-2.94, 1 C 2.77, 6 Na 2.83-2.96
Na 0.9998 0.9998 0.0028  7 B 2.63-2.76, 5 C 2.70-2.71, 6 Na 2.83-2.93
Na 0.1004 0.1004 0.6978  6 B 2.64-2.72, 6 C 2.66-2.70, 6 Na 2.83-2.91
Na 0.7999 0.7999 0.6018  9 B 2.62-2.87, 3 C 2.66-2.78, 4 Na 2.83-2.93
Na 0.9013 0.9013 0.3009  10 B 2.66-2.86, 2 C 2.73, 6 Na 2.83-2.96
Na 0.5992 0.5992 0.2025  5 C 2.64-2.77, 7 B 2.66-2.79, 6 Na 2.83-2.92
Na 0.6999 0.6999 0.8949  7 B 2.62-2.76, 5 C 2.64-2.76, 4 Na 2.83-2.91
B 0.9241 0.9241 0.5989  3 B 1.72-1.74
B 0.0194 0.0194 0.2887  3 C 1.64-1.66
B 0.9913 0.9913 0.7328  2 C 1.60, 1 B 1.72
B 0.7144 0.7144 0.1781  3 B 1.63-1.77
B 0.8828 0.8828 0.0140  3 B 1.76-1.85
B 0.8104 0.8104 0.8707  2 C 1.64
B 0.7780 0.7780 0.3061  3 B 1.63-1.79
B 0.6160 0.6160 0.4833  3 C 1.64-1.67
B 0.5828 0.5828 0.9147  3 C 1.59-1.62
B 0.3203 0.3203 0.3921  3 B 1.65-1.79
B 0.4235 0.4235 0.0957  1 C 1.63, 2 B 1.76
B 0.3851 0.3851 0.5206  3 B 1.65-1.74
B 0.2130 0.2130 0.6769  3 C 1.64-1.68
B 0.1732 0.1732 0.0956  1 C 1.54
C 0.0839 0.0839 0.4191  3 B 1.64-1.66
C 0.5207 0.5207 0.7902  3 B 1.59-1.60
C 0.6808 0.6808 0.6139  3 B 1.64-1.67
C 0.4874 0.4874 0.2231  3 B 1.63-1.64
C 0.1132 0.1132 0.9756  3 B 1.54-1.62
C 0.2785 0.2785 0.8072  3 B 1.64-1.68

## Properties
The energy above the lowest structure with this stoichiometry is 10 meV per atom. The value obtained for the magnetization is 0.00 μB/f.u. The value obtained for the formation energy from the elements is 123 meV per atom. Its space group is No. 8. Its density of states at the Fermi level is 6.751 states/eV/cell. The value obtained for the total energy is -0.388 Ry per atom.

=====

# NiRuBr2

An optimized crystal structure of NiRuBr2 (GGA-PBE, the Alexandria database).

a = 7.4831 Å, b = 7.4831 Å, c = 7.4831 Å
α = 29.11°, β = 29.11°, γ = 29.11°
Closest atoms and distances in Å follow each position.
Positions (direct):
Ru 0.5000 0.5000 0.5000  6 Br 2.56
Br 0.8960 0.8960 0.8960  1 Ni 2.23
Br 0.1040 0.1040 0.1040  1 Ni 2.23
Ni 0.0000 0.0000 0.0000  2 Br 2.23

## Properties
The energy above the lowest structure with this stoichiometry is 358 meV per atom. The value obtained for the magnetization is 0.00 μB/f.u. Its space group is No. 166. Its density of states at the Fermi level is 5.889 states/eV/cell. The value obtained for the total energy is -0.299 Ry per atom.

=====

# CsTiBe3

An optimized crystal structure of CsTiBe3 (GGA-PBE, the Alexandria database).

a = 4.8101 Å, b = 4.8101 Å, c = 4.8101 Å
α = 90.00°, β = 90.00°, γ = 90.00°
Closest atoms and distances in Å follow each position.
Positions (direct):
Cs 0.0000 0.0000 0.0000  6 Be 2.41
Be 0.0000 0.5000 0.0000  2 Cs 2.41
Be 0.0000 0.0000 0.5000  2 Cs 2.41
Be 0.5000 0.0000 0.0000  2 Cs 2.41
Ti 0.5000 0.5000 0.5000  12 Be 3.40

## Properties
The value obtained for the magnetization is 0.00 μB/f.u. The value obtained for the formation energy from the elements is 2595 meV per atom. Its space group is No. 221. Its density of states at the Fermi level is 3.848 states/eV/cell. The value obtained for the total energy is -0.102 Ry per atom.

=====

# Mn2Te2S

An optimized crystal structure of Mn2Te2S (GGA-PBE, the Alexandria database).

a = 3.6425 Å, b = 3.6425 Å, c = 10.3462 Å
α = 79.86°, β = 79.86°, γ = 60.00°
Closest atoms and distances in Å follow each position.
Positions (direct):
Mn 0.6192 0.6192 0.1423  3 S 2.55, 3 Te 2.71
Mn 0.3808 0.3808 0.8577  3 S 2.55, 3 Te 2.71
Te 0.2298 0.2298 0.3106  3 Mn 2.71
Te 0.7702 0.7702 0.6894  3 Mn 2.71
S 0.0000 0.0000 0.0000  6 Mn 2.55

## Properties
The value obtained for the magnetization is 7.51 μB/f.u. Its space group is No. 166. Its density of states at the Fermi level is 2.472 states/eV/cell. The value obtained for the total energy is -0.444 Ry per atom.

=====

# Ta2MnTe

An optimized crystal structure of Ta2MnTe (GGA-PBE, the Alexandria database).

a = 8.6249 Å, b = 8.6249 Å, c = 8.6249 Å
α = 21.86°, β = 21.86°, γ = 21.86°
Closest atoms and distances in Å follow each position.
Positions (direct):
Mn 0.7452 0.7452 0.7452  3 Ta 2.69, 3 Te 2.94
Ta 0.0024 0.0024 0.0024  3 Mn 2.69, 3 Ta 2.85
Ta 0.2514 0.2514 0.2514  3 Te 2.83, 3 Ta 2.85
Te 0.5010 0.5010 0.5010  3 Ta 2.83, 3 Mn 2.94

## Properties
The value obtained for the magnetization is 2.88 μB/f.u. Its space group is No. 160. Its density of states at the Fermi level is 2.728 states/eV/cell. The value obtained for the total energy is -0.639 Ry per atom.

=====

# PrTh6Se12

An optimized crystal structure of PrTh6Se12 (GGA-PBE, the Alexandria database).

a = 8.5006 Å, b = 8.5006 Å, c = 8.5006 Å
α = 100.81°, β = 100.81°, γ = 100.81°
Closest atoms and distances in Å follow each position.
Positions (direct):
Pr 0.0000 0.0000 0.0000  6 Se 2.91
Th 0.6887 0.8591 0.3702  7 Se 2.89-3.21
Th 0.6298 0.3113 0.1409  7 Se 2.89-3.21
Th 0.1409 0.6298 0.3113  7 Se 2.89-3.21
Th 0.3113 0.1409 0.6298  7 Se 2.89-3.21
Th 0.3702 0.6887 0.8591  7 Se 2.89-3.21
Th 0.8591 0.3702 0.6887  7 Se 2.89-3.21
Se 0.8281 0.5801 0.4400  4 Th 2.95-3.05
Se 0.4400 0.8281 0.5801  4 Th 2.95-3.05
Se 0.5801 0.4400 0.8281  4 Th 2.95-3.05
Se 0.1719 0.4199 0.5600  4 Th 2.95-3.05
Se 0.5600 0.1719 0.4199  4 Th 2.95-3.05
Se 0.4199 0.5600 0.1719  4 Th 2.95-3.05
Se 0.0623 0.9485 0.3330  3 Th 2.89-3.21, 1 Pr 2.91
Se 0.0515 0.6670 0.9377  3 Th 2.89-3.21, 1 Pr 2.91
Se 0.6670 0.9377 0.0515  3 Th 2.89-3.21, 1 Pr 2.91
Se 0.9377 0.0515 0.6670  3 Th 2.89-3.21, 1 Pr 2.91
Se 0.9485 0.3330 0.0623  3 Th 2.89-3.21, 1 Pr 2.91
Se 0.3330 0.0623 0.9485  3 Th 2.89-3.21, 1 Pr 2.91

## Properties
The value obtained for the magnetization is 0.00 μB/f.u. Its space group is No. 148. Its density of states at the Fermi level is 11.958 states/eV/cell. The value obtained for the total energy is -0.473 Ry per atom.

=====

# CeTm3Hg4

An optimized crystal structure of CeTm3Hg4 (GGA-PBE, the Alexandria database).

a = 5.2050 Å, b = 7.6003 Å, c = 10.4102 Å
α = 90.00°, β = 90.00°, γ = 90.00°
Closest atoms and distances in Å follow each position.
Positions (direct):
Tm 0.0000 0.0000 0.0000  8 Hg 3.16
Tm 0.0000 0.0000 0.5000  8 Hg 3.16
Tm 0.5000 0.0000 0.7500  8 Hg 3.16
Tm 0.5000 0.0000 0.2500  8 Hg 3.16
Tm 0.4999 0.5000 0.7500  8 Hg 3.28
Tm 0.5001 0.5000 0.2500  8 Hg 3.28
Hg 0.5000 0.7633 0.0000  6 Tm 3.16-3.28, 2 Ce 3.28
Hg 0.5000 0.7633 0.5000  6 Tm 3.16-3.28, 2 Ce 3.28
Hg 0.5000 0.2367 0.0000  6 Tm 3.16-3.28, 2 Ce 3.28
Hg 0.5000 0.2367 0.5000  6 Tm 3.16-3.28, 2 Ce 3.28
Hg 0.0000 0.7633 0.7500  6 Tm 3.16-3.28, 2 Ce 3.28
Hg 0.0000 0.7633 0.2500  6 Tm 3.16-3.28, 2 Ce 3.28
Hg 0.0000 0.2367 0.2500  6 Tm 3.16-3.28, 2 Ce 3.28
Hg 0.0000 0.2367 0.7500  6 Tm 3.16-3.28, 2 Ce 3.28
Ce 0.0000 0.5000 0.0000  8 Hg 3.28
Ce 0.0000 0.5000 0.5000  8 Hg 3.28

## Properties
The value obtained for the magnetization is 1.61 μB/f.u. The value obtained for the formation energy from the elements is -415 meV per atom. Its space group is No. 123. Its density of states at the Fermi level is 26.531 states/eV/cell. The value obtained for the total energy is -0.219 Ry per atom.

=====

# Tm2SbSe

An optimized crystal structure of Tm2SbSe (GGA-PBE, the Alexandria database).

a = 4.0318 Å, b = 6.9365 Å, c = 7.6610 Å
α = 89.99°, β = 90.00°, γ = 90.00°
Closest atoms and distances in Å follow each position.
Positions (direct):
Tm 0.7008 0.6514 0.1155  3 Se 2.99-3.01, 3 Sb 3.02
Tm 0.7008 0.6511 0.6003  3 Se 2.99-3.01, 3 Sb 3.02
Tm 0.2013 0.1516 0.6157  3 Se 2.99-3.01, 3 Sb 3.02
Tm 0.2013 0.1510 0.1005  3 Se 2.99-3.01, 3 Sb 3.02
Sb 0.2007 0.8072 0.8578  6 Tm 3.02
Sb 0.7013 0.3071 0.3579  6 Tm 3.02
Se 0.2008 0.8237 0.3580  6 Tm 2.99-3.01
Se 0.7010 0.3237 0.8581  6 Tm 2.99-3.01

## Properties
The energy above the lowest structure with this stoichiometry is 178 meV per atom. The value obtained for the magnetization is 0.77 μB/f.u. Its space group is No. 44. Its density of states at the Fermi level is 5.239 states/eV/cell. The value obtained for the total energy is -0.392 Ry per atom.

=====

# Rb2Bi5Pb3

An optimized crystal structure of Rb2Bi5Pb3 (GGA-PBE, the Alexandria database).

a = 8.6658 Å, b = 10.7385 Å, c = 10.7385 Å
α = 72.31°, β = 66.20°, γ = 66.20°
Closest atoms and distances in Å follow each position.
Positions (direct):
Rb 0.1249 0.6236 0.1265  8 Bi 4.04-4.28, 4 Pb 4.10-4.29
Rb 0.6249 0.1265 0.6236  8 Bi 4.04-4.28, 4 Pb 4.10-4.29
Rb 0.8751 0.3764 0.8735  8 Bi 4.04-4.28, 4 Pb 4.10-4.29
Rb 0.3751 0.8735 0.3764  8 Bi 4.04-4.28, 4 Pb 4.10-4.29
Bi 0.3723 0.2503 0.0051  2 Bi 3.21, 3 Pb 3.28
Bi 0.8723 0.0051 0.2503  2 Bi 3.21, 3 Pb 3.28
Bi 0.6277 0.7497 0.9949  2 Bi 3.21, 3 Pb 3.28
Bi 0.1277 0.9949 0.7497  2 Bi 3.21, 3 Pb 3.28
Bi 0.4965 0.7535 0.7535  2 Bi 3.21, 2 Pb 3.26
Bi 0.5035 0.2465 0.2465  2 Bi 3.21, 2 Pb 3.26
Bi 0.7500 0.5000 0.5000  4 Pb 3.25
Bi 0.2500 0.5000 0.5000  4 Pb 3.25
Bi 0.0035 0.2465 0.2465  2 Bi 3.21, 2 Pb 3.26
Bi 0.9965 0.7535 0.7535  2 Bi 3.21, 2 Pb 3.26
Pb 0.3739 0.5074 0.7447  5 Bi 3.25-3.28
Pb 0.8739 0.7447 0.5074  5 Bi 3.25-3.28
Pb 0.6261 0.4926 0.2553  5 Bi 3.25-3.28
Pb 0.1261 0.2553 0.4926  5 Bi 3.25-3.28
Pb 0.2500 0.0000 0.0000  4 Bi 3.28
Pb 0.7500 0.0000 0.0000  4 Bi 3.28

## Properties
The value obtained for the magnetization is 0.00 μB/f.u. The value obtained for the formation energy from the elements is -142 meV per atom. Its space group is No. 72. Its density of states at the Fermi level is 10.524 states/eV/cell. The value obtained for the total energy is -0.249 Ry per atom.